A geometry-optimized MgTeMoO6 structure, computed with PBE with a Hubbard U.

```
MgTeMoO6
1.0
-1.606 -1.859 -4.622
3.439 -2.717 2.862
-6.751 -4.267 4.062
Mg Te Mo O
2 2 2 12
direct
0.333 0.667 0.250
0.667 0.333 0.750
0.667 0.333 0.250
0.333 0.667 0.750
0.000 0.000 0.000
0.000 0.000 0.500
0.684 0.694 0.123
0.010 0.316 0.123
0.316 0.010 0.623
0.990 0.684 0.877
0.306 0.316 0.377
0.010 0.694 0.377
0.694 0.010 0.877
0.684 0.990 0.377
0.990 0.306 0.623
0.306 0.990 0.123
0.694 0.684 0.623
0.316 0.306 0.877
```

Computed properties:
- ΔE to the lowest computed polymorph: 174.8 meV per atom
- M_tot: 0.00 μB/cell
- D(E_F): 0.006 states/eV per atom
- Mass density: 5.37 g/cm3
- V: 11.81 A^3/atom
- Crystal system: trigonal
- Raw total energy: -6.13 eV per atom